VSiRu2 | GGA-PBE | relaxed

Lattice parameters (Å, degrees): 3.954 3.954 13.120 90.00 90.00 120.00
Element x y z (fractional)
V 0.000 0.000 0.000
V 0.333 0.667 0.667
V 0.667 0.333 0.333
Si 0.000 0.000 0.804
Si 0.333 0.667 0.471
Si 0.667 0.333 0.138
Ru 0.000 0.000 0.210
Ru 0.000 0.000 0.405
Ru 0.333 0.667 0.072
Ru 0.333 0.667 0.877
Ru 0.667 0.333 0.544
Ru 0.667 0.333 0.739

Properties
The energy relative to the elements, uncorrected comes out at -0.22 eV/atom. As for the space group: R3m. The density of states at the Fermi level comes out at 4.46 states/eV/f.u. The raw total energy comes out at -101.9 eV for the cell shown.